## AlTlMo2 (PBE)

Data for AlTlMo2 after structural relaxation.

* final energy: -26.25 eV for the cell shown

The structure in CIF format:
```
data_AlTlMo2
_chemical_formula_sum 'Al1 Tl1 Mo2'
_space_group_name_H-M_alt 'P 4/m m m'
_space_group_IT_number 123
_space_group_name_Hall '-P 4 2'
_cell_length_a 3.407
_cell_length_b 3.407
_cell_length_c 6.174
_cell_angle_alpha 90.00
_cell_angle_beta 90.00
_cell_angle_gamma 90.00
loop_
_atom_site_label
_atom_site_type_symbol
_atom_site_fract_x
_atom_site_fract_y
_atom_site_fract_z
Al1 Al 0.000 0.000 0.000
Tl1 Tl 0.000 0.000 0.500
Mo1 Mo 0.500 0.500 0.196
```